Record 1
Compound: RbInTe
Source: Alexandria
Functional: PBE-GGA
Structure: optimized geometry

Properties
**Total energy**: -8.31 eV per formula unit
**Mass density**: 3.9 g cm⁻³
**Total magnetization**: 0.000 μB per cell

Lattice parameters (Å, degrees): 8.266 8.266 8.266 90.00 90.00 90.00
Space group F-43m (No. 216)
Symmetry-distinct sites (fractional):
Rb  0.000  0.000  0.000 x4
In  0.000  0.000  0.500 x4
Te  0.250  0.250  0.750 x4



Record 2
Compound: AcTb4Ho
Source: Alexandria
Functional: PBE-GGA
Structure: optimized geometry

Properties
**Energy of formation from the pure elements**: 42 meV per atom
**Mass density**: 8.4 g cm⁻³
**Total magnetization**: 0.000 μB per cell

Lattice parameters (Å, degrees): 6.275 8.120 8.889 111.63 90.06 105.05
Space group P-1 (No. 2)
Symmetry-distinct sites (fractional):
Ac  0.128  0.127  0.371 x2
Tb  0.043  0.383  0.797 x2
Tb  0.214  0.872  0.958 x2
Tb  0.291  0.624  0.541 x2
Tb  0.462  0.131  0.714 x2
Ho  0.377  0.378  0.121 x2



Record 3
Compound: TiAl
Source: Alexandria
Functional: PBE-GGA
Structure: optimized geometry

Properties
**Energy of formation from the pure elements**: -108 meV per atom
**Mass density**: 3.6 g cm⁻³
**Total magnetization**: 0.000 μB per cell

Lattice parameters (Å, degrees): 9.579 9.579 3.017 90.00 90.00 90.00
Space group I4/mmm (No. 139)
Symmetry-distinct sites (fractional):
Ti  0.162  0.162  0.000 x8
Al  0.000  0.333  0.500 x8



Record 4
Compound: GdTlHgSb
Source: Alexandria
Functional: PBE-GGA
Structure: optimized geometry

Properties
**Total energy**: -22.25 eV per formula unit
**Mass density**: 10.1 g cm⁻³
**Total magnetization**: 28.136 μB per cell

Lattice parameters (Å, degrees): 7.657 7.657 7.657 90.00 90.00 90.00
Space group F-43m (No. 216)
Symmetry-distinct sites (fractional):
Gd  0.000  0.000  0.000 x4
Tl  0.000  0.000  0.500 x4
Hg  0.250  0.250  0.250 x4
Sb  0.250  0.250  0.750 x4



Record 5
Compound: LaTmGe
Source: Alexandria
Functional: PBE-GGA
Structure: optimized geometry

Properties
**Energy of formation from the pure elements**: -668 meV per atom
**Mass density**: 7.6 g cm⁻³
**Total magnetization**: 2.695 μB per cell

Lattice parameters (Å, degrees): 4.495 4.495 16.562 90.00 90.00 90.00
Space group I4/mmm (No. 139)
Symmetry-distinct sites (fractional):
La  0.000  0.000  0.179 x4
Tm  0.000  0.500  0.000 x4
Ge  0.000  0.000  0.375 x4



Record 6
Compound: Cs2NpTe4Pd
Source: Alexandria
Functional: PBE-GGA
Structure: optimized geometry

Properties
**Total energy**: -36.94 eV per formula unit
**Mass density**: 5.3 g cm⁻³
**Total magnetization**: 23.669 μB per cell

Lattice parameters (Å, degrees): 7.046 12.981 30.723 90.00 90.00 90.00
Space group Fddd (No. 70, origin choice 2)
Symmetry-distinct sites (fractional):
Cs  0.125  0.125  0.301 x16
Np  0.125  0.125  0.125 x8
Te  0.099  0.292  0.814 x32
Pd  0.125  0.125  0.625 x8



Record 7
Compound: Cs3SiBr
Source: Alexandria
Functional: PBE-GGA
Structure: optimized geometry

Properties
**Total energy**: -10.99 eV per formula unit
**Mass density**: 2.6 g cm⁻³
**Total magnetization**: 2.000 μB per cell

Lattice parameters (Å, degrees): 6.833 6.833 6.833 90.00 90.00 90.00
Space group Pm-3m (No. 221)
Symmetry-distinct sites (fractional):
Cs  0.000  0.000  0.500 x3
Si  0.500  0.500  0.500 x1
Br  0.000  0.000  0.000 x1



Record 8
Compound: TbTeF2
Source: Alexandria
Functional: PBE-GGA
Structure: optimized geometry

Properties
**Total energy**: -23.29 eV per formula unit
**Mass density**: 6.9 g cm⁻³
**Total magnetization**: 0.000 μB per cell

Lattice parameters (Å, degrees): 3.919 11.908 6.727 90.00 90.00 90.00
Space group Cmcm (No. 63)
Symmetry-distinct sites (fractional):
Tb  0.000  0.244  0.250 x4
Te  0.000  0.022  0.750 x4
F  0.000  0.300  0.570 x8



Record 9
Compound: PmNdBiSe
Source: Alexandria
Functional: PBE-GGA
Structure: optimized geometry

Properties
**Total energy**: -22.13 eV per formula unit
**Mass density**: 7.8 g cm⁻³
**Total magnetization**: 0.000 μB per cell

Lattice parameters (Å, degrees): 4.3384 4.3384 22.5388 90.00 90.00 120.00
Space group R3m (No. 160, hexagonal axes)
Symmetry-distinct sites (fractional):
Pm  0.0000  0.0000  0.0000 x3
Nd  0.0000  0.0000  0.1831 x3
Bi  0.0000  0.0000  0.4242 x3
Se  0.0000  0.0000  0.5952 x3



Record 10
Compound: LaHoCo2
Source: Alexandria
Functional: PBE-GGA
Structure: optimized geometry

Properties
**Energy of formation from the pure elements**: -125 meV per atom
**Mass density**: 8.3 g cm⁻³
**Total magnetization**: 0.003 μB per cell

Lattice parameters (Å, degrees): 3.899 5.714 7.604 90.00 90.00 90.00
Space group Pmc2_1 (No. 26)
Symmetry-distinct sites (fractional):
La  0.000  0.128  0.000 x2
Ho  0.500  0.374  0.358 x2
Co  0.000  0.367  0.644 x2
Co  0.500  0.169  0.703 x2



Record 11
Compound: NaSnSBr
Source: Alexandria
Functional: PBE-GGA
Structure: optimized geometry

Properties
**Total energy**: -14.69 eV per formula unit
**Mass density**: 3.8 g cm⁻³
**Total magnetization**: 0.000 μB per cell

Lattice parameters (Å, degrees): 4.1013 4.1013 22.6466 90.00 90.00 120.00
Space group R3m (No. 160, hexagonal axes)
Symmetry-distinct sites (fractional):
Na  0.0000  0.0000  0.0000 x3
Sn  0.0000  0.0000  0.8165 x3
S  0.0000  0.0000  0.4191 x3
Br  0.0000  0.0000  0.2534 x3



Record 12
Compound: CrGe2S2
Source: Alexandria
Functional: PBE-GGA
Structure: optimized geometry

Properties
**Total energy**: -26.59 eV per formula unit
**Mass density**: 4.8 g cm⁻³
**Total magnetization**: 0.000 μB per cell

Lattice parameters (Å, degrees): 5.754 5.754 5.408 90.00 90.00 90.00
Space group P4/mbm (No. 127)
Symmetry-distinct sites (fractional):
Cr  0.000  0.000  0.000 x2
Ge  0.202  0.298  0.500 x4
S  0.149  0.351  0.000 x4



Record 13
Compound: Pr2CdGa3Rh4
Source: Alexandria
Functional: PBE-GGA
Structure: optimized geometry

Properties
**Energy of formation from the pure elements**: -683 meV per atom
**Mass density**: 8.6 g cm⁻³
**Total magnetization**: 0.000 μB per cell

Lattice parameters (Å, degrees): 4.292 4.292 10.606 90.00 90.00 90.00
Space group P-4m2 (No. 115)
Symmetry-distinct sites (fractional):
Pr  0.000  0.500  0.237 x2
Cd  0.000  0.000  0.500 x1
Ga  0.000  0.500  0.881 x2
Ga  0.500  0.500  0.500 x1
Rh  0.000  0.000  0.000 x1
Rh  0.000  0.500  0.648 x2
Rh  0.500  0.500  0.000 x1



Record 14
Compound: SmTlSn2Se4
Source: Alexandria
Functional: PBE-GGA
Structure: optimized geometry

Properties
**Total energy**: -35.68 eV per formula unit
**Mass density**: 6.5 g cm⁻³
**Total magnetization**: 0.000 μB per cell

Lattice parameters (Å, degrees): 7.471 4.308 7.566 90.00 108.46 90.00
Space group P2/m (No. 10)
Symmetry-distinct sites (fractional):
Sm  0.000  0.000  0.000 x1
Tl  0.000  0.500  0.500 x1
Sn  0.500  0.000  0.500 x1
Sn  0.500  0.500  0.000 x1
Se  0.246  0.500  0.231 x2
Se  0.258  0.000  0.774 x2



Record 15
Compound: ErTm2Si2Rh5
Source: Alexandria
Functional: PBE-GGA
Structure: optimized geometry

Properties
**Total energy**: -71.48 eV per formula unit
**Mass density**: 10.4 g cm⁻³
**Total magnetization**: 0.000 μB per cell

Lattice parameters (Å, degrees): 9.884 9.884 3.523 90.00 90.00 90.00
Space group P4/mbm (No. 127)
Symmetry-distinct sites (fractional):
Er  0.000  0.000  0.000 x2
Tm  0.173  0.327  0.000 x4
Si  0.124  0.624  0.000 x4
Rh  0.000  0.500  0.500 x2
Rh  0.070  0.780  0.500 x8



Record 16
Compound: La6Tb12Sm
Source: Alexandria
Functional: PBE-GGA
Structure: optimized geometry

Properties
**Energy of formation from the pure elements**: 163 meV per atom
**Mass density**: 7.4 g cm⁻³
**Total magnetization**: 0.001 μB per cell

Lattice parameters (Å, degrees): 12.3799 12.3799 14.7430 90.00 90.00 120.00
Space group R-3 (No. 148, hexagonal axes)
Symmetry-distinct sites (fractional):
La  0.0280  0.5760  0.2260 x18
Tb  0.0607  0.8760  0.3006 x18
Tb  0.0698  0.1955  0.9030 x18
Sm  0.0000  0.0000  0.5000 x3



Record 17
Compound: Ac8InRuPt2
Source: Alexandria
Functional: PBE-GGA
Structure: optimized geometry

Properties
**Energy of formation from the pure elements**: -481 meV per atom
**Mass density**: 9.3 g cm⁻³
**Total magnetization**: 0.000 μB per cell

Lattice parameters (Å, degrees): 7.297 7.742 7.987 87.78 74.64 88.64
Space group P-1 (No. 2)
Symmetry-distinct sites (fractional):
Ac  0.164  0.095  0.290 x2
Ac  0.228  0.228  0.832 x2
Ac  0.256  0.598  0.436 x2
Ac  0.319  0.710  0.911 x2
In  0.500  0.000  0.500 x1
Ru  0.500  0.000  0.000 x1
Pt  0.034  0.451  0.195 x2



Record 18
Compound: CdGePCl2
Source: Alexandria
Functional: PBE-GGA
Structure: optimized geometry

Properties
**Total energy**: -14.45 eV per formula unit
**Mass density**: 4.0 g cm⁻³
**Total magnetization**: 0.000 μB per cell

Lattice parameters (Å, degrees): 4.875 4.875 5.071 90.00 90.00 90.00
Space group P4/mmm (No. 123)
Symmetry-distinct sites (fractional):
Cd  0.000  0.000  0.000 x1
Ge  0.500  0.500  0.500 x1
P  0.500  0.500  0.000 x1
Cl  0.000  0.500  0.500 x2



Record 19
Compound: Nd3Y7Ho2
Source: Alexandria
Functional: PBE-GGA
Structure: optimized geometry

Properties
**Energy of formation from the pure elements**: 230 meV per atom
**Mass density**: 5.4 g cm⁻³
**Total magnetization**: 1.110 μB per cell

Lattice parameters (Å, degrees): 3.644 5.630 20.674 90.00 95.05 90.00
Space group P2/m (No. 10)
Symmetry-distinct sites (fractional):
Nd  0.000  0.000  0.000 x1
Nd  0.330  0.500  0.662 x2
Y  0.086  0.500  0.171 x2
Y  0.215  0.000  0.430 x2
Y  0.432  0.000  0.865 x2
Y  0.500  0.500  0.000 x1
Ho  0.137  0.000  0.274 x2



Record 20
Compound: La3MnFeS7
Source: Alexandria
Functional: PBE-GGA
Structure: optimized geometry

Properties
**Total energy**: -79.71 eV per formula unit
**Mass density**: 4.6 g cm⁻³
**Total magnetization**: 0.015 μB per cell

Lattice parameters (Å, degrees): 10.2345 10.2345 6.0425 90.00 90.00 120.00
Space group P6_3 (No. 173)
Symmetry-distinct sites (fractional):
La  0.1413  0.7637  0.0000 x6
Mn  0.0000  0.0000  0.2755 x2
Fe  0.3333  0.6667  0.4145 x2
S  0.0870  0.8545  0.5379 x6
S  0.0998  0.5171  0.2733 x6
S  0.3333  0.6667  0.7852 x2



Record 21
Compound: ZrTa2Rh
Source: Alexandria
Functional: PBE-GGA
Structure: optimized geometry

Properties
**Energy of formation from the pure elements**: 210 meV per atom
**Mass density**: 11.7 g cm⁻³
**Total magnetization**: 0.000 μB per cell

Lattice parameters (Å, degrees): 7.592 7.592 5.458 90.00 90.00 90.00
Space group I-42d (No. 122)
Symmetry-distinct sites (fractional):
Zr  0.000  0.000  0.000 x4
Ta  0.214  0.250  0.625 x8
Rh  0.000  0.000  0.500 x4



Record 22
Compound: YMg2Cd
Source: Alexandria
Functional: PBE-GGA
Structure: optimized geometry

Properties
**Energy of formation from the pure elements**: -182 meV per atom
**Mass density**: 4.2 g cm⁻³
**Total magnetization**: 0.000 μB per cell

Lattice parameters (Å, degrees): 4.466 4.558 4.844 90.00 90.00 90.00
Space group Pmmm (No. 47)
Symmetry-distinct sites (fractional):
Y  0.000  0.000  0.000 x1
Mg  0.000  0.500  0.500 x1
Mg  0.500  0.000  0.500 x1
Cd  0.500  0.500  0.000 x1



Record 23
Compound: La2WSe
Source: Alexandria
Functional: PBE-GGA
Structure: optimized geometry

Properties
**Total energy**: -26.69 eV per formula unit
**Mass density**: 7.6 g cm⁻³
**Total magnetization**: 0.000 μB per cell

Lattice parameters (Å, degrees): 4.4783 4.4783 20.4412 90.00 90.00 120.00
Space group R3m (No. 160, hexagonal axes)
Symmetry-distinct sites (fractional):
La  0.0000  0.0000  0.0000 x3
La  0.0000  0.0000  0.1730 x3
W  0.0000  0.0000  0.7533 x3
Se  0.0000  0.0000  0.4194 x3